# 1
Compound: Ac8IrPd3I4
Source: the Alexandria database
Functional: GGA-PBE
Structure: relaxed

Cell lengths 10.083, 10.083, 10.083 Å; angles 52.53, 52.53, 52.53 degrees
Fractional positions:
Ac (0.229, 0.229, 0.229)
Ac (0.238, 0.724, 0.724)
Ac (0.276, 0.276, 0.762)
Ac (0.276, 0.762, 0.276)
Ac (0.724, 0.238, 0.724)
Ac (0.724, 0.724, 0.238)
Ac (0.762, 0.276, 0.276)
Ac (0.771, 0.771, 0.771)
Ir (0.500, 0.500, 0.500)
Pd (0.000, 0.000, 0.500)
Pd (0.000, 0.500, 0.000)
Pd (0.500, 0.000, 0.000)
I (0.000, 0.000, 0.000)
I (0.000, 0.500, 0.500)
I (0.500, 0.000, 0.500)
I (0.500, 0.500, 0.000)

# 2
Compound: Ac6IrPd2I3
Source: the Alexandria database
Functional: GGA-PBE
Structure: relaxed

Cell lengths 7.718, 7.718, 9.039 Å; angles 98.18, 98.18, 120.01 degrees
Fractional positions:
Ac (0.062, 0.386, 0.187)
Ac (0.261, 0.261, 0.813)
Ac (0.386, 0.062, 0.187)
Ac (0.614, 0.938, 0.813)
Ac (0.739, 0.739, 0.187)
Ac (0.938, 0.614, 0.813)
Ir (0.000, 0.000, 0.000)
Pd (0.333, 0.667, 0.000)
Pd (0.667, 0.333, 0.000)
I (0.167, 0.833, 0.500)
I (0.500, 0.500, 0.500)
I (0.833, 0.167, 0.500)

# 3
Compound: Ac8Ir3PdI4
Source: the Alexandria database
Functional: GGA-PBE
Structure: relaxed

Cell lengths 10.038, 10.038, 10.038 Å; angles 52.25, 52.25, 52.25 degrees
Fractional positions:
Ac (0.219, 0.733, 0.733)
Ac (0.228, 0.228, 0.228)
Ac (0.267, 0.267, 0.781)
Ac (0.267, 0.781, 0.267)
Ac (0.733, 0.219, 0.733)
Ac (0.733, 0.733, 0.219)
Ac (0.772, 0.772, 0.772)
Ac (0.781, 0.267, 0.267)
Ir (0.000, 0.000, 0.500)
Ir (0.000, 0.500, 0.000)
Ir (0.500, 0.000, 0.000)
Pd (0.500, 0.500, 0.500)
I (0.000, 0.000, 0.000)
I (0.000, 0.500, 0.500)
I (0.500, 0.000, 0.500)
I (0.500, 0.500, 0.000)

no.,size of the total moment (μB per cell),density of states at the Fermi level (states/eV/atom),raw formation energy (eV per atom)
1,0.00,0.746,-1.01
2,0.00,0.590,-1.02
3,0.00,0.348,-1.06